No. 1
The following is a DFT calculation (GGA-PBE) of an optimized crystal structure of Hf2Zn3Ga2.

Cell: 9.248 9.248 3.741 Å, 90.00 90.00 156.64°
Positions (direct):
Hf  0.165  0.835  0.000
Hf  0.835  0.165  0.000
Zn  0.000  0.000  0.000
Zn  0.431  0.569  0.500
Zn  0.569  0.431  0.500
Ga  0.293  0.707  0.500
Ga  0.707  0.293  0.500

Properties
Calculated total energy, eV/atom: -4.38
N(E_F), states/eV/cell: 4.64
ρ, g/cm3: 9.1
Spin magnetization, Bohr magnetons per cell: 0.00
Crystal system: orthorhombic

***

No. 2
The following is a DFT calculation (GGA-PBE) of an optimized crystal structure of Ho4GaSnN.

Cell: 8.498 8.498 6.561 Å, 90.00 90.00 134.62°
Positions (direct):
Ho  0.000  0.500  0.000
Ho  0.000  0.500  0.500
Ho  0.081  0.919  0.750
Ho  0.410  0.590  0.750
Ho  0.500  0.000  0.000
Ho  0.500  0.000  0.500
Ho  0.590  0.410  0.250
Ho  0.919  0.081  0.250
Ga  0.115  0.885  0.250
Ga  0.885  0.115  0.750
Sn  0.393  0.607  0.250
Sn  0.607  0.393  0.750
N  0.252  0.748  0.750
N  0.748  0.252  0.250

Properties
Calculated total energy, eV/atom: -5.71
N(E_F), states/eV/cell: 2.97
ρ, g/cm3: 8.5
Spin magnetization, Bohr magnetons per cell: 0.00
Crystal system: orthorhombic
Uncorrected formation energy, eV per atom: -0.902

***

No. 3
The following is a DFT calculation (GGA-PBE) of an optimized crystal structure of HfSb2TeRh.

Cell: 5.039 5.039 5.299 Å, 90.00 90.00 90.00°
Positions (direct):
Hf  0.000  0.000  0.000
Sb  0.000  0.500  0.500
Sb  0.500  0.000  0.500
Te  0.500  0.500  0.000
Rh  0.500  0.500  0.500

Properties
Calculated total energy, eV/atom: -5.27
N(E_F), states/eV/cell: 5.02
ρ, g/cm3: 8.1
Spin magnetization, Bohr magnetons per cell: 0.00
Crystal system: tetragonal
Uncorrected formation energy, eV per atom: 0.464

***

No. 4
The following is a DFT calculation (GGA-PBE) of an optimized crystal structure of CuAg4Br6.

Cell: 7.724 7.724 13.254 Å, 104.78 104.78 61.45°
Positions (direct):
Cu  0.238  0.762  0.500
Cu  0.762  0.238  0.000
Ag  0.162  0.368  0.243
Ag  0.347  0.789  0.087
Ag  0.368  0.162  0.743
Ag  0.659  0.852  0.436
Ag  0.789  0.347  0.587
Ag  0.852  0.659  0.936
Ag  0.858  0.995  0.245
Ag  0.995  0.858  0.745
Br  0.009  0.493  0.750
Br  0.043  0.081  0.443
Br  0.050  0.572  0.436
Br  0.081  0.043  0.943
Br  0.099  0.654  0.127
Br  0.333  0.809  0.688
Br  0.493  0.009  0.250
Br  0.546  0.564  0.430
Br  0.564  0.546  0.930
Br  0.572  0.050  0.936
Br  0.654  0.099  0.627
Br  0.809  0.333  0.188

Properties
Calculated total energy, eV/atom: -2.62
N(E_F), states/eV/cell: 17.17
ρ, g/cm3: 4.9
Spin magnetization, Bohr magnetons per cell: 1.89
Crystal system: monoclinic
Uncorrected formation energy, eV per atom: -0.296

***

No. 5
The following is a DFT calculation (GGA-PBE) of an optimized crystal structure of TiSi2SeI.

Cell: 4.833 4.833 5.390 Å, 90.00 90.00 90.00°
Positions (direct):
Ti  0.000  0.000  0.000
Si  0.000  0.500  0.500
Si  0.500  0.000  0.500
Se  0.500  0.500  0.500
I  0.500  0.500  0.000

Properties
Calculated total energy, eV/atom: -3.55
N(E_F), states/eV/cell: 7.02
ρ, g/cm3: 4.1
Spin magnetization, Bohr magnetons per cell: 0.05
Crystal system: tetragonal
Uncorrected formation energy, eV per atom: 1.209

***

No. 6
The following is a DFT calculation (GGA-PBE) of an optimized crystal structure of Ca2PaN.

Cell: 10.119 10.119 10.119 Å, 19.07 19.07 19.07°
Positions (direct):
Ca  0.123  0.123  0.123
Ca  0.877  0.877  0.877
Pa  0.000  0.000  0.000
N  0.500  0.500  0.500

Properties
Calculated total energy, eV/atom: -5.67
N(E_F), states/eV/cell: 4.27
ρ, g/cm3: 5.6
Spin magnetization, Bohr magnetons per cell: 0.02
Crystal system: trigonal
Uncorrected formation energy, eV per atom: -0.217